[1]
Density functional theory data (PBE-GGA) for crystalline Tb4PrDy2Ho at its relaxed geometry.

Raw total energy = -4.21 eV/atom
Crystal system = monoclinic
Formation energy from the elements = 0.425 eV/atom

Cell: 13.6207 13.2650 6.8168 Å, 90.00 120.03 90.00°
Closest atoms and distances in Å follow each position.
Space group C2/c (No. 15)
Symmetry-distinct sites (fractional):
Tb 0.0009 0.2494 0.0027  1 Ho 3.31, 3 Dy 3.32-3.41, 2 Tb 3.38-3.43, 2 Pr 3.40-3.42
Tb 0.2495 0.0016 0.4992  3 Dy 3.29-3.41, 1 Pr 3.34, 2 Ho 3.40, 2 Tb 3.41
Pr 0.2500 0.2500 0.0000  6 Tb 3.34-3.42, 2 Dy 3.41
Dy 0.0000 0.5000 0.0000  6 Tb 3.32-3.41, 2 Dy 3.41
Dy 0.2500 0.2500 0.5000  6 Tb 3.29-3.41, 2 Pr 3.41
Ho 0.0000 0.0000 0.0000  6 Tb 3.31-3.40, 2 Ho 3.41



[2]
Density functional theory data (PBE-GGA) for crystalline Nd3SmS at its relaxed geometry.

Raw total energy = -5.30 eV/atom
Crystal system = cubic
ΔE_f (raw) = -0.6700 eV per atom

Cell: 5.5147 5.5147 5.5147 Å, 90.00 90.00 90.00°
Closest atoms and distances in Å follow each position.
Space group Pm-3m (No. 221)
Symmetry-distinct sites (fractional):
Nd 0.0000 0.0000 0.5000  2 S 2.76
Sm 0.5000 0.5000 0.5000  12 Nd 3.90
S 0.0000 0.0000 0.0000  6 Nd 2.76